DFT (PBE) results for a relaxed structure of LaDy2Au.

a b c (Å): 3.6466 3.6466 8.6520
angles (deg): 90.00 90.00 90.00
Element x y z (fractional)
1 La 0.0000 0.0000 0.0000
2 Dy 0.5000 0.5000 0.3016
3 Dy 0.5000 0.5000 0.6984
4 Au 0.0000 0.0000 0.5000

Values from the calculation:
Energy: -0.350 Ry/atom
Formation energy from the elements: -0.404 eV per atom